Model w:
A relaxed Ho3Al4 crystal, computed with GGA-PBE.

Results
As for the symmetry: P2_1/m, No. 11. The theoretical density is 6157 kg/m³.

a = 4.150 Å, b = 14.159 Å, c = 5.906 Å
α = 90.00°, β = 110.48°, γ = 90.00°
Atoms (fractional coordinates):
Ho: 0.005 0.250 0.011
Ho: 0.294 0.600 0.589
Ho: 0.294 0.900 0.589
Ho: 0.706 0.100 0.411
Ho: 0.706 0.400 0.411
Ho: 0.995 0.750 0.989
Al: 0.000 0.000 0.000
Al: 0.000 0.500 0.000
Al: 0.282 0.250 0.565
Al: 0.421 0.099 0.841
Al: 0.421 0.401 0.841
Al: 0.579 0.599 0.159
Al: 0.579 0.901 0.159
Al: 0.718 0.750 0.435

=====

Model x:
A relaxed Ho3Al4 crystal, computed with GGA-PBE.

Results
As for the symmetry: Immm, No. 71. The theoretical density is 6357 kg/m³.

a = 3.552 Å, b = 4.514 Å, c = 19.639 Å
α = 90.00°, β = 90.00°, γ = 90.00°
Atoms (fractional coordinates):
Ho: 0.000 0.000 0.000
Ho: 0.000 0.500 0.196
Ho: 0.000 0.500 0.804
Ho: 0.500 0.000 0.304
Ho: 0.500 0.000 0.696
Ho: 0.500 0.500 0.500
Al: 0.000 0.000 0.434
Al: 0.000 0.000 0.566
Al: 0.000 0.500 0.361
Al: 0.000 0.500 0.639
Al: 0.500 0.000 0.139
Al: 0.500 0.000 0.861
Al: 0.500 0.500 0.066
Al: 0.500 0.500 0.934

=====

The least stable of them is model w.

=====

Model w:
A relaxed Ho4AlI5 crystal, computed with GGA-PBE.

Results
As for the symmetry: C2/m, No. 12. The theoretical density is 5541 kg/m³.

a = 10.971 Å, b = 10.971 Å, c = 8.782 Å
α = 90.43°, β = 90.43°, γ = 22.00°
Atoms (fractional coordinates):
Ho: 0.000 0.000 0.219
Ho: 0.000 0.000 0.781
Ho: 0.373 0.373 0.998
Ho: 0.627 0.627 0.002
Al: 0.500 0.500 0.000
I: 0.152 0.152 0.252
I: 0.152 0.152 0.753
I: 0.500 0.500 0.500
I: 0.848 0.848 0.247
I: 0.848 0.848 0.748

=====

Model x:
A relaxed Ho4AlI5 crystal, computed with GGA-PBE.

Results
As for the symmetry: C2/m, No. 12. The theoretical density is 6293 kg/m³.

a = 9.843 Å, b = 9.843 Å, c = 8.831 Å
α = 102.11°, β = 102.11°, γ = 24.66°
Atoms (fractional coordinates):
Ho: 0.000 0.000 0.218
Ho: 0.000 0.000 0.782
Ho: 0.352 0.352 0.924
Ho: 0.648 0.648 0.076
Al: 0.500 0.500 0.000
I: 0.167 0.167 0.337
I: 0.174 0.174 0.833
I: 0.500 0.500 0.500
I: 0.826 0.826 0.167
I: 0.833 0.833 0.663

=====

The least stable of them is model w.

=====

Model w:
A relaxed Ho4AlIn3 crystal, computed with GGA-PBE.

Results
As for the symmetry: P4/mmm, No. 123. The theoretical density is 8404 kg/m³.

a = 3.647 Å, b = 3.647 Å, c = 15.315 Å
α = 90.00°, β = 90.00°, γ = 90.00°
Atoms (fractional coordinates):
Ho: 0.000 0.000 0.116
Ho: 0.000 0.000 0.371
Ho: 0.000 0.000 0.629
Ho: 0.000 0.000 0.884
Al: 0.500 0.500 0.000
In: 0.500 0.500 0.244
In: 0.500 0.500 0.500
In: 0.500 0.500 0.756

=====

Model x:
A relaxed Ho4AlIn3 crystal, computed with GGA-PBE.

Results
As for the symmetry: Pmm2, No. 25. The theoretical density is 8118 kg/m³.

a = 3.755 Å, b = 4.693 Å, c = 11.969 Å
α = 90.00°, β = 90.00°, γ = 90.00°
Atoms (fractional coordinates):
Ho: 0.000 0.000 0.000
Ho: 0.000 0.500 0.306
Ho: 0.500 0.000 0.487
Ho: 0.500 0.500 0.812
Al: 0.500 0.000 0.228
In: 0.000 0.000 0.730
In: 0.000 0.500 0.574
In: 0.500 0.500 0.080

=====

The least stable of them is model x.

=====

Model w:
A relaxed Ho4Al2In crystal, computed with GGA-PBE.

Results
As for the symmetry: R-3m, No. 166. The theoretical density is 7400 kg/m³.

a = 8.775 Å, b = 8.775 Å, c = 8.775 Å
α = 33.76°, β = 33.76°, γ = 33.76°
Atoms (fractional coordinates):
Ho: 0.116 0.116 0.116
Ho: 0.370 0.370 0.370
Ho: 0.630 0.630 0.630
Ho: 0.884 0.884 0.884
Al: 0.248 0.248 0.248
Al: 0.752 0.752 0.752
In: 0.500 0.500 0.500

=====

Model x:
A relaxed Ho4Al2In crystal, computed with GGA-PBE.

Results
As for the symmetry: P2_1/m, No. 11. The theoretical density is 7333 kg/m³.

a = 7.121 Å, b = 6.587 Å, c = 8.581 Å
α = 90.00°, β = 111.21°, γ = 90.00°
Atoms (fractional coordinates):
Ho: 0.039 0.250 0.407
Ho: 0.110 0.750 0.272
Ho: 0.395 0.014 0.767
Ho: 0.395 0.486 0.767
Ho: 0.605 0.514 0.233
Ho: 0.605 0.986 0.233
Ho: 0.890 0.250 0.728
Ho: 0.961 0.750 0.593
Al: 0.211 0.750 0.967
Al: 0.476 0.250 0.467
Al: 0.524 0.750 0.533
Al: 0.789 0.250 0.033
In: 0.210 0.250 0.090
In: 0.790 0.750 0.910

=====

The least stable of them is model x.

=====

Model w:
A relaxed Ho4Al3In crystal, computed with GGA-PBE.

Results
As for the symmetry: P4/mmm, No. 123. The theoretical density is 7459 kg/m³.

a = 3.582 Å, b = 3.582 Å, c = 14.845 Å
α = 90.00°, β = 90.00°, γ = 90.00°
Atoms (fractional coordinates):
Ho: 0.000 0.000 0.120
Ho: 0.000 0.000 0.364
Ho: 0.000 0.000 0.636
Ho: 0.000 0.000 0.880
Al: 0.500 0.500 0.000
Al: 0.500 0.500 0.242
Al: 0.500 0.500 0.758
In: 0.500 0.500 0.500

=====

Model x:
A relaxed Ho4Al3In crystal, computed with GGA-PBE.

Results
As for the symmetry: Pmm2, No. 25. The theoretical density is 7155 kg/m³.

a = 3.728 Å, b = 4.533 Å, c = 11.750 Å
α = 90.00°, β = 90.00°, γ = 90.00°
Atoms (fractional coordinates):
Ho: 0.000 0.000 0.000
Ho: 0.000 0.500 0.303
Ho: 0.500 0.000 0.488
Ho: 0.500 0.500 0.811
Al: 0.000 0.500 0.574
Al: 0.500 0.000 0.218
Al: 0.500 0.500 0.082
In: 0.000 0.000 0.720

=====

The least stable of them is model x.

=====

Model w:
A relaxed Ho2Al2In crystal, computed with GGA-PBE.

Results
As for the symmetry: P4/mbm, No. 127. The theoretical density is 7034 kg/m³.

a = 7.195 Å, b = 7.195 Å, c = 4.548 Å
α = 90.00°, β = 90.00°, γ = 90.00°
Atoms (fractional coordinates):
Ho: 0.170 0.330 0.000
Ho: 0.330 0.830 0.000
Ho: 0.670 0.170 0.000
Ho: 0.830 0.670 0.000
Al: 0.128 0.628 0.500
Al: 0.372 0.128 0.500
Al: 0.628 0.872 0.500
Al: 0.872 0.372 0.500
In: 0.000 0.000 0.500
In: 0.500 0.500 0.500

=====

Model x:
A relaxed Ho2Al2In crystal, computed with GGA-PBE.

Results
As for the symmetry: Cmmm, No. 65. The theoretical density is 7236 kg/m³.

a = 4.489 Å, b = 14.568 Å, c = 3.499 Å
α = 90.00°, β = 90.00°, γ = 90.00°
Atoms (fractional coordinates):
Ho: 0.000 0.122 0.000
Ho: 0.000 0.878 0.000
Ho: 0.500 0.378 0.000
Ho: 0.500 0.622 0.000
Al: 0.000 0.298 0.500
Al: 0.000 0.702 0.500
Al: 0.500 0.202 0.500
Al: 0.500 0.798 0.500
In: 0.000 0.500 0.500
In: 0.500 0.000 0.500

=====

The least stable of them is model w.

=====

Model w:
A relaxed Ho4AlIn2 crystal, computed with GGA-PBE.

Results
As for the symmetry: I4/mmm, No. 139. The theoretical density is 7322 kg/m³.

a = 5.628 Å, b = 5.628 Å, c = 13.121 Å
α = 90.00°, β = 90.00°, γ = 90.00°
Atoms (fractional coordinates):
Ho: 0.000 0.500 0.000
Ho: 0.000 0.500 0.250
Ho: 0.000 0.500 0.500
Ho: 0.000 0.500 0.750
Ho: 0.500 0.000 0.000
Ho: 0.500 0.000 0.250
Ho: 0.500 0.000 0.500
Ho: 0.500 0.000 0.750
Al: 0.000 0.000 0.000
Al: 0.500 0.500 0.500
In: 0.000 0.000 0.375
In: 0.000 0.000 0.625
In: 0.500 0.500 0.125
In: 0.500 0.500 0.875

=====

Model x:
A relaxed Ho4AlIn2 crystal, computed with GGA-PBE.

Results
As for the symmetry: R-3m, No. 166. The theoretical density is 7786 kg/m³.

a = 8.962 Å, b = 8.962 Å, c = 8.962 Å
α = 33.51°, β = 33.51°, γ = 33.51°
Atoms (fractional coordinates):
Ho: 0.123 0.123 0.123
Ho: 0.374 0.374 0.374
Ho: 0.626 0.626 0.626
Ho: 0.877 0.877 0.877
Al: 0.500 0.500 0.500
In: 0.251 0.251 0.251
In: 0.749 0.749 0.749

=====

The least stable of them is model w.

=====

Model w:
A relaxed HoMgAlIn crystal, computed with GGA-PBE.

Results
As for the symmetry: Pmmm, No. 47. The theoretical density is 6153 kg/m³.

a = 4.414 Å, b = 4.443 Å, c = 4.556 Å
α = 90.00°, β = 90.00°, γ = 90.00°
Atoms (fractional coordinates):
Ho: 0.000 0.000 0.000
Mg: 0.000 0.500 0.500
Al: 0.500 0.500 0.000
In: 0.500 0.000 0.500

=====

Model x:
A relaxed HoMgAlIn crystal, computed with GGA-PBE.

Results
As for the symmetry: F-43m, No. 216. The theoretical density is 5979 kg/m³.

a = 7.164 Å, b = 7.164 Å, c = 7.164 Å
α = 90.00°, β = 90.00°, γ = 90.00°
Atoms (fractional coordinates):
Ho: 0.000 0.000 0.000
Ho: 0.000 0.500 0.500
Ho: 0.500 0.000 0.500
Ho: 0.500 0.500 0.000
Mg: 0.000 0.000 0.500
Mg: 0.000 0.500 0.000
Mg: 0.500 0.000 0.000
Mg: 0.500 0.500 0.500
Al: 0.250 0.250 0.750
Al: 0.250 0.750 0.250
Al: 0.750 0.250 0.250
Al: 0.750 0.750 0.750
In: 0.250 0.250 0.250
In: 0.250 0.750 0.750
In: 0.750 0.250 0.750
In: 0.750 0.750 0.250

=====

The least stable of them is model x.

=====

Model w:
A relaxed HoScAlIn crystal, computed with GGA-PBE.

Results
As for the symmetry: P4mm, No. 99. The theoretical density is 6425 kg/m³.

a = 3.470 Å, b = 3.470 Å, c = 7.547 Å
α = 90.00°, β = 90.00°, γ = 90.00°
Atoms (fractional coordinates):
Ho: 0.000 0.000 0.000
Sc: 0.000 0.000 0.474
Al: 0.500 0.500 0.253
In: 0.500 0.500 0.720

=====

Model x:
A relaxed HoScAlIn crystal, computed with GGA-PBE.

Results
As for the symmetry: F-43m, No. 216. The theoretical density is 6373 kg/m³.

a = 7.157 Å, b = 7.157 Å, c = 7.157 Å
α = 90.00°, β = 90.00°, γ = 90.00°
Atoms (fractional coordinates):
Ho: 0.000 0.000 0.000
Ho: 0.000 0.500 0.500
Ho: 0.500 0.000 0.500
Ho: 0.500 0.500 0.000
Sc: 0.000 0.000 0.500
Sc: 0.000 0.500 0.000
Sc: 0.500 0.000 0.000
Sc: 0.500 0.500 0.500
Al: 0.250 0.250 0.750
Al: 0.250 0.750 0.250
Al: 0.750 0.250 0.250
Al: 0.750 0.750 0.750
In: 0.250 0.250 0.250
In: 0.250 0.750 0.750
In: 0.750 0.250 0.750
In: 0.750 0.750 0.250

=====

The least stable of them is model x.

=====

Model w:
A relaxed SmHoAlIn crystal, computed with GGA-PBE.

Results
As for the symmetry: F-43m, No. 216. The theoretical density is 7391 kg/m³.

a = 7.434 Å, b = 7.434 Å, c = 7.434 Å
α = 90.00°, β = 90.00°, γ = 90.00°
Atoms (fractional coordinates):
Sm: 0.000 0.000 0.000
Sm: 0.000 0.500 0.500
Sm: 0.500 0.000 0.500
Sm: 0.500 0.500 0.000
Ho: 0.000 0.000 0.500
Ho: 0.000 0.500 0.000
Ho: 0.500 0.000 0.000
Ho: 0.500 0.500 0.500
Al: 0.250 0.250 0.750
Al: 0.250 0.750 0.250
Al: 0.750 0.250 0.250
Al: 0.750 0.750 0.750
In: 0.250 0.250 0.250
In: 0.250 0.750 0.750
In: 0.750 0.250 0.750
In: 0.750 0.750 0.250

=====

Model x:
A relaxed SmHoAlIn crystal, computed with GGA-PBE.

Results
As for the symmetry: P4mm, No. 99. The theoretical density is 7415 kg/m³.

a = 3.686 Å, b = 3.686 Å, c = 7.536 Å
α = 90.00°, β = 90.00°, γ = 90.00°
Atoms (fractional coordinates):
Sm: 0.000 0.000 0.000
Ho: 0.000 0.000 0.479
Al: 0.500 0.500 0.248
In: 0.500 0.500 0.730

=====

The least stable of them is model w.

=====

Model w:
A relaxed TbHoAlIn crystal, computed with GGA-PBE.

Results
As for the symmetry: F-43m, No. 216. The theoretical density is 7712 kg/m³.

a = 7.375 Å, b = 7.375 Å, c = 7.375 Å
α = 90.00°, β = 90.00°, γ = 90.00°
Atoms (fractional coordinates):
Tb: 0.000 0.000 0.000
Tb: 0.000 0.500 0.500
Tb: 0.500 0.000 0.500
Tb: 0.500 0.500 0.000
Ho: 0.000 0.000 0.500
Ho: 0.000 0.500 0.000
Ho: 0.500 0.000 0.000
Ho: 0.500 0.500 0.500
Al: 0.250 0.250 0.750
Al: 0.250 0.750 0.250
Al: 0.750 0.250 0.250
Al: 0.750 0.750 0.750
In: 0.250 0.250 0.250
In: 0.250 0.750 0.750
In: 0.750 0.250 0.750
In: 0.750 0.750 0.250

=====

Model x:
A relaxed TbHoAlIn crystal, computed with GGA-PBE.

Results
As for the symmetry: P4mm, No. 99. The theoretical density is 7735 kg/m³.

a = 3.620 Å, b = 3.620 Å, c = 7.628 Å
α = 90.00°, β = 90.00°, γ = 90.00°
Atoms (fractional coordinates):
Tb: 0.000 0.000 0.000
Ho: 0.000 0.000 0.523
Al: 0.500 0.500 0.759
In: 0.500 0.500 0.265

=====

The least stable of them is model w.

=====

Model w:
A relaxed Ho4AlIr crystal, computed with GGA-PBE.

Results
As for the symmetry: F-43m, No. 216. The theoretical density is 9624 kg/m³.

a = 9.502 Å, b = 9.502 Å, c = 9.502 Å
α = 60.00°, β = 60.00°, γ = 60.00°
Atoms (fractional coordinates):
Ho: 0.055 0.055 0.445
Ho: 0.055 0.445 0.055
Ho: 0.055 0.445 0.445
Ho: 0.188 0.188 0.812
Ho: 0.188 0.812 0.188
Ho: 0.188 0.812 0.812
Ho: 0.195 0.602 0.602
Ho: 0.445 0.055 0.055
Ho: 0.445 0.055 0.445
Ho: 0.445 0.445 0.055
Ho: 0.602 0.195 0.602
Ho: 0.602 0.602 0.195
Ho: 0.602 0.602 0.602
Ho: 0.812 0.188 0.188
Ho: 0.812 0.188 0.812
Ho: 0.812 0.812 0.188
Al: 0.516 0.828 0.828
Al: 0.828 0.516 0.828
Al: 0.828 0.828 0.516
Al: 0.828 0.828 0.828
Ir: 0.391 0.391 0.391
Ir: 0.391 0.391 0.826
Ir: 0.391 0.826 0.391
Ir: 0.826 0.391 0.391

=====

Model x:
A relaxed Ho4AlIr crystal, computed with GGA-PBE.

Results
As for the symmetry: C2/c, No. 15. The theoretical density is 9215 kg/m³.

a = 7.936 Å, b = 7.936 Å, c = 5.933 Å
α = 102.52°, β = 102.52°, γ = 112.86°
Atoms (fractional coordinates):
Ho: 0.059 0.711 0.932
Ho: 0.217 0.358 0.661
Ho: 0.289 0.941 0.568
Ho: 0.358 0.217 0.161
Ho: 0.642 0.783 0.839
Ho: 0.711 0.059 0.432
Ho: 0.783 0.642 0.339
Ho: 0.941 0.289 0.068
Al: 0.373 0.627 0.250
Al: 0.627 0.373 0.750
Ir: 0.000 0.000 0.250
Ir: 0.000 0.000 0.750

=====

The least stable of them is model x.